Below is La4Tb2SmTm after structural relaxation, with properties calculated at the PBE level.

Results
N(E_F) = 13.398 states/eV/cell
Electronic total energy = -4.69 eV/atom
Formation energy = 0.0827 eV/atom

Cell lengths 5.980, 5.990, 9.779 Å; angles 52.26, 90.00, 90.00 degrees
Atoms (fractional coordinates):
Tm  0.000  0.500  0.500
Tb  0.500  0.000  0.500
Tb  0.000  0.000  0.000
La  0.000  0.759  0.743
La  0.500  0.743  0.257
La  0.500  0.257  0.743
La  0.000  0.241  0.257
Sm  0.500  0.500  0.000